# 1
## Nd3Dy5Se8 (PBE)

Data for an optimized crystal structure of Nd3Dy5Se8.

Lattice parameters (Å, degrees): 8.2279 8.2279 20.4810 90.00 90.00 120.00
Last column: nearest neighbours and their distance in Å.
Space group R-3m (No. 166, hexagonal axes)
One atom of each set of equivalent atoms:
Nd 0.0000 0.5000 0.0000 (multiplicity 9)  6 Se 2.98-2.99
Dy 0.0000 0.0000 0.0000 (multiplicity 3)  6 Se 2.93
Dy 0.0000 0.0000 0.5000 (multiplicity 3)  6 Se 2.92
Dy 0.0000 0.5000 0.5000 (multiplicity 9)  6 Se 2.87
Se 0.0000 0.0000 0.2450 (multiplicity 6)  3 Dy 2.87, 3 Nd 2.99
Se 0.0063 0.5032 0.7533 (multiplicity 18)  4 Dy 2.87-2.93, 2 Nd 2.98

Volume, Å³/cell: 1201
Energy relative to the elements, uncorrected, eV/atom: -1.78
DOS(E_F), states/eV/f.u.: 9.85
DFT total energy, eV/atom: -5.85

# 2
## NdDy3Se6 (PBE)

Data for an optimized crystal structure of NdDy3Se6.

Lattice parameters (Å, degrees): 11.6195 4.1435 11.9194 90.00 109.07 90.00
Last column: nearest neighbours and their distance in Å.
Space group P2_1/m (No. 11)
One atom of each set of equivalent atoms:
Nd 0.0467 0.2500 0.1948 (multiplicity 2)  8 Se 3.03-3.17
Dy 0.1591 0.2500 0.5853 (multiplicity 2)  6 Se 2.79-2.91
Dy 0.3189 0.7500 0.9993 (multiplicity 2)  7 Se 2.83-3.06
Dy 0.4374 0.2500 0.3332 (multiplicity 2)  6 Se 2.81-2.91
Se 0.0836 0.7500 0.4046 (multiplicity 2)  3 Dy 2.86-2.91, 2 Nd 3.17
Se 0.1164 0.2500 0.9653 (multiplicity 2)  3 Nd 3.03-3.10, 2 Dy 3.06
Se 0.1959 0.7500 0.7502 (multiplicity 2)  3 Dy 2.79-2.84, 1 Nd 3.10
Se 0.2600 0.7500 0.2259 (multiplicity 2)  3 Dy 2.91-3.00, 2 Nd 3.16
Se 0.3941 0.2500 0.5598 (multiplicity 2)  4 Dy 2.84-2.90
Se 0.4805 0.2500 0.1143 (multiplicity 2)  4 Dy 2.81-3.05

Volume, Å³/cell: 542
Energy relative to the elements, uncorrected, eV/atom: -1.89
DFT total energy, eV/atom: -5.84

# 3
## Nd5DySe8 (PBE)

Data for an optimized crystal structure of Nd5DySe8.

Lattice parameters (Å, degrees): 9.0400 9.0400 8.7471 90.00 90.00 90.00
Last column: nearest neighbours and their distance in Å.
Space group I-4 (No. 82)
One atom of each set of equivalent atoms:
Nd 0.0000 0.0000 0.0000 (multiplicity 2)  8 Se 3.07-3.16
Nd 0.1484 0.2527 0.3757 (multiplicity 8)  6 Se 2.95-3.07
Dy 0.0000 0.5000 0.7500 (multiplicity 2)  8 Se 2.98-3.13
Se 0.0657 0.1810 0.6980 (multiplicity 8)  4 Nd 2.96-3.16, 1 Dy 2.98
Se 0.0712 0.3278 0.0521 (multiplicity 8)  4 Nd 2.95-3.07, 1 Dy 3.13

Volume, Å³/cell: 715
Energy relative to the elements, uncorrected, eV/atom: -1.84
DOS(E_F), states/eV/f.u.: 6.93
DFT total energy, eV/atom: -5.86

# 4
## Nd2Dy3Se8 (PBE)

Data for an optimized crystal structure of Nd2Dy3Se8.

Lattice parameters (Å, degrees): 14.4956 8.3269 7.0612 90.00 109.51 90.00
Last column: nearest neighbours and their distance in Å.
Space group C2/m (No. 12)
One atom of each set of equivalent atoms:
Nd 0.2397 0.0000 0.1617 (multiplicity 4)  6 Se 2.93-3.00
Dy 0.0000 0.2389 0.5000 (multiplicity 4)  6 Se 2.82-2.91
Dy 0.0000 0.5000 0.0000 (multiplicity 2)  6 Se 2.83-2.88
Se 0.1150 0.5000 0.4205 (multiplicity 4)  3 Dy 2.88-2.91, 1 Nd 3.00
Se 0.1200 0.2634 0.9116 (multiplicity 8)  2 Dy 2.83-2.85, 2 Nd 2.98-3.00
Se 0.1213 0.0000 0.4260 (multiplicity 4)  2 Dy 2.82, 1 Nd 2.93

Volume, Å³/cell: 803
Energy relative to the elements, uncorrected, eV/atom: -1.73
DOS(E_F), states/eV/f.u.: 6.50
DFT total energy, eV/atom: -5.67

# 5
## NdDySe3 (PBE)

Data for an optimized crystal structure of NdDySe3.

Lattice parameters (Å, degrees): 8.1697 4.1245 8.2894 90.00 94.81 90.00
Last column: nearest neighbours and their distance in Å.
Space group P2_1/m (No. 11)
One atom of each set of equivalent atoms:
Nd 0.1207 0.2500 0.2707 (multiplicity 2)  8 Se 2.96-3.20
Dy 0.3540 0.7500 0.8242 (multiplicity 2)  6 Se 2.75-2.94
Se 0.1245 0.2500 0.8892 (multiplicity 2)  2 Dy 2.87, 3 Nd 3.09-3.17
Se 0.1838 0.7500 0.5239 (multiplicity 2)  1 Dy 2.75, 2 Nd 2.96
Se 0.3986 0.7500 0.1800 (multiplicity 2)  3 Dy 2.89-2.94, 2 Nd 3.20

Volume, Å³/cell: 278
Energy relative to the elements, uncorrected, eV/atom: -1.87
DFT total energy, eV/atom: -5.84

# 6
## NdDySe2 (PBE)

Data for an optimized crystal structure of NdDySe2.

Lattice parameters (Å, degrees): 7.1330 4.1328 7.2803 90.00 109.21 90.00
Last column: nearest neighbours and their distance in Å.
Space group C2/m (No. 12)
One atom of each set of equivalent atoms:
Nd 0.0000 0.0000 0.0000 (multiplicity 2)  6 Se 3.00
Dy 0.0000 0.5000 0.5000 (multiplicity 2)  6 Se 2.88
Se 0.2452 0.0000 0.7353 (multiplicity 4)  3 Dy 2.88, 3 Nd 3.00

Volume, Å³/cell: 203
Energy relative to the elements, uncorrected, eV/atom: -1.80
DOS(E_F), states/eV/f.u.: 1.89
DFT total energy, eV/atom: -5.88

# 7
## Nd4Dy3Se8 (PBE)

Data for an optimized crystal structure of Nd4Dy3Se8.

Lattice parameters (Å, degrees): 8.1658 8.1658 23.0152 90.00 90.00 120.00
Last column: nearest neighbours and their distance in Å.
Space group R-3m (No. 166, hexagonal axes)
One atom of each set of equivalent atoms:
Nd 0.0000 0.0000 0.0000 (multiplicity 3)  6 Se 3.03, 2 Nd 3.36
Nd 0.0000 0.0000 0.1461 (multiplicity 6)  4 Se 2.83-2.88
Nd 0.0000 0.0000 0.5000 (multiplicity 3)  6 Se 3.06
Dy 0.0000 0.5000 0.0000 (multiplicity 9)  6 Se 2.79-2.95
Se 0.0000 0.0000 0.2689 (multiplicity 6)  3 Dy 2.79, 1 Nd 2.83
Se 0.0095 0.5047 0.2547 (multiplicity 18)  3 Nd 2.88-3.06, 2 Dy 2.95

Volume, Å³/cell: 1329
Energy relative to the elements, uncorrected, eV/atom: -1.63
DOS(E_F), states/eV/f.u.: 6.74
DFT total energy, eV/atom: -5.68

# 8
## Nd2Dy4Se9 (PBE)

Data for an optimized crystal structure of Nd2Dy4Se9.

Lattice parameters (Å, degrees): 7.2948 7.2968 19.6240 90.00 89.96 60.06
Last column: nearest neighbours and their distance in Å.
Space group P-1 (No. 2)
One atom of each set of equivalent atoms:
Nd 0.0001 0.0016 0.1484 (multiplicity 2)  6 Se 2.93-3.02
Nd 0.0012 0.9980 0.3513 (multiplicity 2)  6 Se 2.93-3.02
Dy 0.3322 0.3338 0.8174 (multiplicity 2)  6 Se 2.85-2.93
Dy 0.3328 0.3335 0.0137 (multiplicity 2)  6 Se 2.85-2.90
Dy 0.3345 0.3330 0.3178 (multiplicity 2)  6 Se 2.85-2.93
Dy 0.3342 0.3332 0.5131 (multiplicity 2)  6 Se 2.84-2.91
Se 0.0011 0.3094 0.2502 (multiplicity 2)  2 Dy 2.85, 2 Nd 3.01-3.02
Se 0.0273 0.3458 0.9165 (multiplicity 2)  3 Dy 2.85-2.92, 1 Nd 2.93
Se 0.0269 0.6252 0.4167 (multiplicity 2)  3 Dy 2.85-2.93, 1 Nd 2.93
Se 0.3091 0.9996 0.7501 (multiplicity 2)  2 Dy 2.85, 2 Nd 3.01
Se 0.3095 0.6901 0.2497 (multiplicity 2)  2 Dy 2.85, 2 Nd 3.01-3.02
Se 0.3479 0.6247 0.9162 (multiplicity 2)  3 Dy 2.85-2.92, 1 Nd 2.93
Se 0.3485 0.0253 0.4162 (multiplicity 2)  3 Dy 2.84-2.92, 1 Nd 2.93
Se 0.3729 0.6530 0.5840 (multiplicity 2)  3 Dy 2.85-2.92, 1 Nd 2.93
Se 0.3754 0.9725 0.0836 (multiplicity 2)  3 Dy 2.85-2.93, 1 Nd 2.93

Volume, Å³/cell: 905
Energy relative to the elements, uncorrected, eV/atom: -1.86
DOS(E_F), states/eV/f.u.: 0.00
DFT total energy, eV/atom: -5.82

# 9
## Nd2DySe3 (PBE)

Data for an optimized crystal structure of Nd2DySe3.

Lattice parameters (Å, degrees): 4.1094 4.1094 21.2581 90.00 90.00 120.00
Last column: nearest neighbours and their distance in Å.
Space group P6_3/mmc (No. 194)
One atom of each set of equivalent atoms:
Nd 0.3333 0.6667 0.0834 (multiplicity 4)  6 Se 2.96-3.00
Dy 0.0000 0.0000 0.2500 (multiplicity 2)  6 Se 2.93
Se 0.0000 0.0000 0.0000 (multiplicity 2)  6 Nd 2.96
Se 0.3333 0.6667 0.6695 (multiplicity 4)  3 Dy 2.93, 3 Nd 3.00

Volume, Å³/cell: 311
Energy relative to the elements, uncorrected, eV/atom: -1.79
DOS(E_F), states/eV/f.u.: 3.11
DFT total energy, eV/atom: -5.88

Q: What is the DFT total energy in the first record?
A: -5.85 eV/atom

Q: Look up the volume of the seventh one.
A: 1329 Å³/cell